Computed, not measured: an optimized crystal structure of Ca3Pd2Pb4 at the PBE level of DFT.

The structure belongs to space group C2/m (No. 12); the cell edges are 11.424, 4.908 and 9.440 Å and the angles 90.00°, 113.75° and 90.00°. The inequivalent atoms are Ca at (0.000, 0.000, 0.000), Ca at (0.178, 0.500, 0.626), Pd at (0.092, 0.500, 0.272), Pb at (0.023, 0.000, 0.349) and Pb at (0.230, 0.500, 0.091).

The calculation puts the formation energy at -0.501 eV per atom. The calculation puts the total magnetization at 0.00 μB per formula unit. Its crystal system is monoclinic.